Record 1
PrSm2GaN after structural relaxation, computed with PBE.

Structure (POSCAR):
```
PrSm2GaN
1.0
-3.728 -0.399 3.335
1.575 -4.475 1.226
2.876 1.958 3.450
Pr Sm Ga N
1 2 1 1
Direct
0.500 0.000 0.000
0.000 0.000 0.500
0.000 0.500 0.000
0.500 0.500 0.500
0.000 0.000 0.000
```


Record 2
SiNCl2 after structural relaxation, computed with PBE.

Results
Its offset from the most stable computed form is 0.234 eV per atom.

Structure (POSCAR):
```
SiNCl2
1.0
-1.342 2.279 3.904
-2.654 3.884 -0.332
-4.514 -0.106 1.358
Si N Cl
1 1 2
Direct
0.500 0.500 0.500
0.000 0.000 0.000
0.250 0.250 0.250
0.750 0.750 0.750
```


Record 3
Dy2YBe after structural relaxation, computed with PBE.

Results
Its formation enthalpy at 0 K is 0.3 eV/f.u. Its offset from the most stable computed form is 0.000 eV per atom.

Structure (POSCAR):
```
Dy2YBe
1.0
-0.689 -1.942 -2.803
3.133 -1.490 0.263
-3.314 -6.081 5.028
Y Be Dy
1 1 2
Direct
0.500 0.500 0.500
0.500 0.500 0.000
0.000 0.000 0.808
0.000 0.000 0.192
```


Record 4
PmAl2Au9 after structural relaxation, computed with PBE.

Results
Its formation enthalpy at 0 K is -4.3 eV/f.u.

Structure (POSCAR):
```
PmAl2Au9
1.0
6.340 0.000 2.919
3.170 8.111 1.459
-0.222 0.000 8.827
Pm Al Au
2 4 18
Direct
0.500 0.000 0.000
0.250 0.500 0.500
0.875 0.250 0.750
0.875 0.750 0.250
0.875 0.250 0.250
0.375 0.750 0.750
0.750 0.500 0.500
0.000 0.000 0.000
0.980 0.936 0.692
0.608 0.064 0.308
0.666 0.192 0.564
0.422 0.808 0.436
0.770 0.808 0.564
0.142 0.192 0.436
0.084 0.936 0.308
0.328 0.064 0.692
0.770 0.564 0.808
0.142 0.436 0.192
0.084 0.308 0.936
0.328 0.692 0.064
0.980 0.692 0.936
0.608 0.308 0.064
0.666 0.564 0.192
0.422 0.436 0.808
```


Record 5
Pa2AsH after structural relaxation, computed with PBE.

Results
Its offset from the most stable computed form is 0.130 eV per atom.

Structure (POSCAR):
```
Pa2AsH
1.0
-2.070 1.236 -2.423
-3.841 -3.426 3.944
-1.103 5.626 3.812
Pa As H
4 2 2
Direct
0.362 0.724 0.503
0.638 0.276 0.497
0.638 0.276 0.003
0.362 0.724 0.997
0.996 0.991 0.250
0.004 0.009 0.750
0.224 0.447 0.250
0.776 0.553 0.750
```


Record 6
FeP2IrCl after structural relaxation, computed with PBE.

Results
Its offset from the most stable computed form is 0.000 eV per atom.

Structure (POSCAR):
```
FeP2IrCl
1.0
4.550 0.000 0.000
0.000 4.550 0.000
0.000 0.000 5.059
P Ir Fe Cl
2 1 1 1
Direct
0.000 0.500 0.000
0.500 0.000 0.000
0.000 0.000 0.000
0.500 0.500 0.500
0.000 0.000 0.500
```


Record 7
Pr2TaGe4Pt3 after structural relaxation, computed with PBE.

Results
Its formation enthalpy at 0 K is -8.1 eV/f.u.

Structure (POSCAR):
```
Pr2TaGe4Pt3
1.0
4.302 0.000 0.000
0.000 4.302 0.000
0.000 0.000 10.752
Pr Ta Ge Pt
2 1 4 3
Direct
0.500 0.000 0.238
0.000 0.500 0.762
0.500 0.500 0.500
0.500 0.500 0.000
0.000 0.000 0.000
0.500 0.000 0.642
0.000 0.500 0.358
0.000 0.000 0.500
0.500 0.000 0.875
0.000 0.500 0.125
```


Record 8
Zr2ScAlO after structural relaxation, computed with PBE.

Structure (POSCAR):
```
Zr2ScAlO
1.0
-0.959 4.090 1.656
-4.386 -0.696 -0.821
-0.462 -1.689 3.903
Sc O Al Zr
1 1 1 2
Direct
0.000 0.000 0.500
0.000 0.000 0.000
0.500 0.500 0.500
0.000 0.500 0.000
0.500 0.000 0.000
```


Record 9
LaTb2Pr6Nd after structural relaxation, computed with PBE.

Results
Its formation enthalpy at 0 K is 1.1 eV/f.u.

Structure (POSCAR):
```
LaTb2Pr6Nd
1.0
9.424 -2.205 -2.288
0.841 8.778 -2.046
0.841 -2.370 8.696
La Tb Pr Nd
2 4 12 2
Direct
0.250 0.405 0.595
0.750 0.595 0.405
0.454 0.805 0.709
0.046 0.291 0.195
0.546 0.195 0.291
0.954 0.709 0.805
0.056 0.110 0.756
0.444 0.244 0.890
0.944 0.890 0.244
0.556 0.756 0.110
0.318 0.982 0.433
0.182 0.567 0.018
0.682 0.018 0.567
0.818 0.433 0.982
0.121 0.703 0.491
0.379 0.509 0.297
0.879 0.297 0.509
0.621 0.491 0.703
0.250 0.971 0.029
0.750 0.029 0.971
```


Record 10
Al2CrPb after structural relaxation, computed with PBE.

Results
Its formation enthalpy at 0 K is 0.6 eV/f.u.

Structure (POSCAR):
```
Al2CrPb
1.0
-0.793 -0.087 2.897
1.037 -2.836 0.199
7.819 3.012 2.232
Pb Cr Al
1 1 2
Direct
0.500 0.750 0.750
0.500 0.250 0.250
0.000 0.750 0.076
0.000 0.750 0.424
```


Record 11
Cs3TcO4 after structural relaxation, computed with PBE.

Results
Its offset from the most stable computed form is 0.000 eV per atom.

Structure (POSCAR):
```
Cs3TcO4
1.0
-0.823 -3.885 -5.421
-4.506 -4.701 4.053
-7.025 4.730 -2.324
Cs Tc O
6 2 8
Direct
0.520 0.868 0.000
0.016 0.672 0.239
0.516 0.328 0.261
0.020 0.132 0.500
0.516 0.328 0.739
0.016 0.672 0.761
0.998 0.181 0.000
0.498 0.819 0.500
0.066 0.946 0.000
0.721 0.199 0.000
0.088 0.290 0.176
0.588 0.710 0.324
0.221 0.801 0.500
0.566 0.054 0.500
0.588 0.710 0.676
0.088 0.290 0.824
```


Record 12
AlIn2Os after structural relaxation, computed with PBE.

Results
Its formation enthalpy at 0 K is 1.3 eV/f.u.

Structure (POSCAR):
```
AlIn2Os
1.0
5.073 0.000 0.000
1.635 4.803 0.000
-3.354 -2.401 2.953
Os Al In
1 1 2
Direct
0.500 0.500 0.000
0.750 0.250 0.500
0.000 0.000 0.000
0.250 0.750 0.500
```


no.,VASP energy (eV per atom)
1,-5.948
2,-3.173
3,-4.779
4,-3.838
5,-7.046
6,-5.130
7,-6.612
8,-7.690
9,-4.655
10,-5.063
11,-5.617
12,-4.799